(1)
DFT (PBE) results for crystalline LiHo2Lu at its relaxed geometry.

Calculated values
V   28.1 A^3/atom
Energy of formation   54 kJ/mol of formula units
Energy above the most stable polymorph in this dataset   64.3 meV/atom
ρ   7.57 Mg/m³
M_tot   0.00 μB/f.u.

Lattice parameters (Å, degrees): 3.7526 5.4686 5.4686 90.00 90.00 90.00
Last column: nearest neighbours and their distance in Å.
Element x y z (fractional)
1 Lu 0.5000 0.0000 0.0000  8 Ho 3.32
2 Ho 0.0000 0.0000 0.5000  4 Li 3.32, 4 Lu 3.32
3 Ho 0.0000 0.5000 0.0000  4 Lu 3.32, 4 Li 3.32
4 Li 0.5000 0.5000 0.5000  8 Ho 3.32

***

(2)
DFT (PBE) results for crystalline LiHo2Lu at its relaxed geometry.

Calculated values
V   27.9 A^3/atom
Energy of formation   63 kJ/mol of formula units
Energy above the most stable polymorph in this dataset   88.3 meV/atom
ρ   7.63 Mg/m³
M_tot   0.00 μB/f.u.

Lattice parameters (Å, degrees): 5.4014 5.4014 5.4014 60.00 60.00 60.00
Last column: nearest neighbours and their distance in Å.
Element x y z (fractional)
1 Lu 0.5000 0.5000 0.5000  8 Ho 3.31
2 Ho 0.2500 0.2500 0.2500  4 Li 3.31, 4 Lu 3.31
3 Ho 0.7500 0.7500 0.7500  4 Li 3.31, 4 Lu 3.31
4 Li 0.0000 0.0000 0.0000  8 Ho 3.31